This record from Alexandria describes crystalline RbLiHfCl6 at its relaxed geometry. The functional is PBE.

Computed properties:
The magnetic moment is 0.0 μB/f.u. The value obtained for the formation energy (no corrections) is -1.9154 eV/atom.

Cell: 6.6585 6.6585 14.6200 Å, 90.00 90.00 120.00°
With the nearest neighbours (Å) after each atom.
Space group P-31c (No. 163)
Asymmetric unit:
Rb1 0.0000 0.0000 0.0000 [2 per cell]  6 Cl 3.35
Li1 0.3333 0.6667 0.2500 [2 per cell]  6 Cl 2.61
Hf1 0.3333 0.6667 0.7500 [2 per cell]  6 Cl 2.47
Cl1 0.0159 0.3827 0.6523 [12 per cell]  1 Hf 2.47, 1 Li 2.61



This record from Alexandria describes crystalline Rb2LiHfCl6 at its relaxed geometry. The functional is PBE.

Computed properties:
The magnetic moment is 1.0 μB/f.u. The value obtained for the formation energy (no corrections) is -1.7975 eV/atom.

Cell: 7.3025 7.3025 35.8846 Å, 90.00 90.00 120.00°
With the nearest neighbours (Å) after each atom.
Space group R-3m (No. 166, hexagonal axes)
Asymmetric unit:
Rb1 0.0000 0.0000 0.1257 [6 per cell]  12 Cl 3.65-3.70
Rb2 0.0000 0.0000 0.2911 [6 per cell]  12 Cl 3.65-3.70
Li1 0.0000 0.0000 0.4131 [6 per cell]  6 Cl 2.57-2.63
Hf1 0.0000 0.0000 0.0000 [3 per cell]  6 Cl 2.53
Hf2 0.0000 0.0000 0.5000 [3 per cell]  6 Cl 2.52
Cl1 0.0062 0.5031 0.7071 [18 per cell]  1 Hf 2.53, 1 Li 2.57
Cl2 0.0096 0.5048 0.1257 [18 per cell]  1 Hf 2.52, 1 Li 2.63



This record from Alexandria describes crystalline LiHfRuCl2 at its relaxed geometry. The functional is PBE.

Computed properties:
The magnetic moment is 1.0 μB/f.u. The value obtained for the formation energy (no corrections) is -0.1177 eV/atom.

Cell: 5.0166 5.0166 4.9685 Å, 90.00 90.00 90.00°
With the nearest neighbours (Å) after each atom.
Space group P4/mmm (No. 123)
Asymmetric unit:
Li1 0.0000 0.0000 0.0000 [1 per cell]  8 Cl 3.53, 4 Ru 3.55
Hf1 0.5000 0.5000 0.5000 [1 per cell]  2 Ru 2.48, 4 Cl 2.51
Ru1 0.5000 0.5000 0.0000 [1 per cell]  2 Hf 2.48
Cl1 0.0000 0.5000 0.5000 [2 per cell]  2 Hf 2.51



This record from Alexandria describes crystalline LiHfS2Cl at its relaxed geometry. The functional is PBE.

Computed properties:
The magnetic moment is 0.0 μB/f.u. The value obtained for the formation energy (no corrections) is -1.2295 eV/atom.

Cell: 4.9516 4.9516 5.0288 Å, 90.00 90.00 90.00°
With the nearest neighbours (Å) after each atom.
Space group P4/mmm (No. 123)
Asymmetric unit:
Li1 0.0000 0.0000 0.0000 [1 per cell]  4 Cl 3.50, 8 S 3.53
Hf1 0.5000 0.5000 0.5000 [1 per cell]  4 S 2.48, 2 Cl 2.51
S1 0.0000 0.5000 0.5000 [2 per cell]  2 Hf 2.48
Cl1 0.5000 0.5000 0.0000 [1 per cell]  2 Hf 2.51



This record from Alexandria describes crystalline LiHfS2Cl at its relaxed geometry. The functional is PBE.

Computed properties:
The magnetic moment is 0.0 μB/f.u. The value obtained for the formation energy (no corrections) is -0.3569 eV/atom.

Cell: 4.5634 4.5634 4.1234 Å, 90.00 90.00 90.00°
With the nearest neighbours (Å) after each atom.
Space group P4/mmm (No. 123)
Asymmetric unit:
Li1 0.0000 0.0000 0.0000 [1 per cell]  2 Cl 2.06, 4 S 2.28
Hf1 0.5000 0.5000 0.5000 [1 per cell]  8 S 3.08, 4 Cl 3.23
S1 0.0000 0.5000 0.0000 [2 per cell]  2 Li 2.28
Cl1 0.0000 0.0000 0.5000 [1 per cell]  2 Li 2.06



This record from Alexandria describes crystalline LiHfSCl2 at its relaxed geometry. The functional is PBE.

Computed properties:
The magnetic moment is 0.0 μB/f.u. The value obtained for the formation energy (no corrections) is -1.2065 eV/atom.

Cell: 4.9923 4.9923 4.9551 Å, 90.00 90.00 90.00°
With the nearest neighbours (Å) after each atom.
Space group P4/mmm (No. 123)
Asymmetric unit:
Li1 0.0000 0.0000 0.0000 [1 per cell]  8 Cl 3.52, 4 S 3.53
Hf1 0.5000 0.5000 0.5000 [1 per cell]  2 S 2.48, 4 Cl 2.50
S1 0.5000 0.5000 0.0000 [1 per cell]  2 Hf 2.48
Cl1 0.0000 0.5000 0.5000 [2 per cell]  2 Hf 2.50



This record from Alexandria describes crystalline LiHfSCl2 at its relaxed geometry. The functional is PBE.

Computed properties:
The magnetic moment is 0.7 μB/f.u. The value obtained for the formation energy (no corrections) is -0.5595 eV/atom.

Cell: 4.2629 4.2629 4.9781 Å, 90.00 90.00 90.00°
With the nearest neighbours (Å) after each atom.
Space group P4/mmm (No. 123)
Asymmetric unit:
Li1 0.0000 0.0000 0.0000 [1 per cell]  4 Cl 2.13
Hf1 0.5000 0.5000 0.5000 [1 per cell]  4 S 3.01, 8 Cl 3.28
S1 0.0000 0.0000 0.5000 [1 per cell]  2 Li 2.49
Cl1 0.0000 0.5000 0.0000 [2 per cell]  2 Li 2.13



This record from Alexandria describes crystalline SrLi2HfCl8 at its relaxed geometry. The functional is PBE.

Computed properties:
The magnetic moment is 0.0 μB/f.u. The value obtained for the formation energy (no corrections) is -1.9733 eV/atom.

Cell: 6.5076 6.9757 8.3877 Å, 70.42 88.67 79.94°
With the nearest neighbours (Å) after each atom.
Space group P-1 (No. 2)
Asymmetric unit:
Sr1 0.0000 0.0000 0.0000 [1 per cell]  6 Cl 2.85-3.02
Li1 0.4695 0.3577 0.1838 [2 per cell]  4 Cl 2.36-2.53
Hf1 0.0000 0.0000 0.5000 [1 per cell]  6 Cl 2.44-2.51
Cl1 0.1300 0.2011 0.6538 [2 per cell]  1 Hf 2.45
Cl2 0.1312 0.2176 0.2268 [2 per cell]  1 Hf 2.51, 1 Li 2.53
Cl3 0.3321 0.7605 0.5542 [2 per cell]  1 Li 2.39, 1 Hf 2.44
Cl4 0.3885 0.7207 0.0527 [2 per cell]  2 Li 2.36-2.37



This record from Alexandria describes crystalline Li2HfTlCl8 at its relaxed geometry. The functional is PBE.

Computed properties:
The magnetic moment is 0.0 μB/f.u. The value obtained for the formation energy (no corrections) is -1.5179 eV/atom.

Cell: 6.1404 8.2961 6.1691 Å, 90.00 94.61 90.00°
With the nearest neighbours (Å) after each atom.
Space group P2/m (No. 10)
Asymmetric unit:
Li1 0.0000 0.2476 0.0000 [2 per cell]  6 Cl 2.55-2.79
Hf1 0.5000 0.0000 0.5000 [1 per cell]  6 Cl 2.46-2.47
Tl1 0.5000 0.5000 0.5000 [1 per cell]  6 Cl 2.72-2.98
Cl1 0.1753 0.5000 0.1734 [2 per cell]  2 Li 2.55, 1 Tl 2.72
Cl2 0.2072 0.0000 0.2013 [2 per cell]  1 Hf 2.47, 2 Li 2.67
Cl3 0.3035 0.2090 0.6903 [4 per cell]  1 Hf 2.46



This record from Alexandria describes crystalline LiHfTlCl6 at its relaxed geometry. The functional is PBE.

Computed properties:
The magnetic moment is 0.0 μB/f.u. The value obtained for the formation energy (no corrections) is -1.6923 eV/atom.

Cell: 6.6444 6.6444 14.1022 Å, 90.00 90.00 120.00°
With the nearest neighbours (Å) after each atom.
Space group P-31c (No. 163)
Asymmetric unit:
Li1 0.3333 0.6667 0.2500 [2 per cell]  6 Cl 2.60
Hf1 0.3333 0.6667 0.7500 [2 per cell]  6 Cl 2.47
Tl1 0.0000 0.0000 0.0000 [2 per cell]  6 Cl 3.25
Cl1 0.0153 0.3812 0.6490 [12 per cell]  1 Hf 2.47, 1 Li 2.60



This record from Alexandria describes crystalline LiY2HfCl at its relaxed geometry. The functional is PBE.

Computed properties:
The magnetic moment is 0.0 μB/f.u. The value obtained for the formation energy (no corrections) is 0.7098 eV/atom.

Cell: 5.6705 5.6705 4.9519 Å, 90.00 90.00 90.00°
With the nearest neighbours (Å) after each atom.
Space group P4/mmm (No. 123)
Asymmetric unit:
Li1 0.0000 0.0000 0.0000 [1 per cell]  2 Hf 2.48
Y1 0.0000 0.5000 0.5000 [2 per cell]  2 Hf 2.84
Hf1 0.0000 0.0000 0.5000 [1 per cell]  2 Li 2.48
Cl1 0.5000 0.5000 0.0000 [1 per cell]  8 Y 3.76, 4 Li 4.01



This record from Alexandria describes crystalline Hf2MgCl8 at its relaxed geometry. The functional is PBE.

Computed properties:
The magnetic moment is 0.0 μB/f.u. The value obtained for the formation energy (no corrections) is -1.5892 eV/atom.

Cell: 12.6695 6.8115 6.4366 Å, 90.00 101.71 90.00°
With the nearest neighbours (Å) after each atom.
Space group C2/m (No. 12)
Asymmetric unit:
Hf1 0.2486 0.0000 0.0002 [4 per cell]  4 Cl 2.33-2.55
Mg1 0.0000 0.5000 0.5000 [2 per cell]  6 Cl 2.48-2.62
Cl1 0.1237 0.2637 0.7651 [8 per cell]  2 Hf 2.55-2.65, 1 Mg 2.62
Cl2 0.1282 0.0000 0.2307 [4 per cell]  1 Hf 2.33
Cl3 0.1379 0.5000 0.2757 [4 per cell]  1 Mg 2.48, 1 Hf 2.50



This record from Alexandria describes crystalline HfMgCl at its relaxed geometry. The functional is PBE.

Computed properties:
The magnetic moment is 0.1 μB/f.u. The value obtained for the formation energy (no corrections) is -0.2973 eV/atom.

Cell: 17.0912 3.2207 5.5801 Å, 90.00 90.00 90.00°
With the nearest neighbours (Å) after each atom.
Space group Amm2 (No. 38)
Asymmetric unit:
Hf1 0.1542 0.0000 0.0000 [4 per cell]  6 Hf 3.22, 3 Mg 3.22-3.23
Mg1 0.0000 0.0000 0.6660 [2 per cell]  6 Mg 3.22, 6 Hf 3.22-3.23
Mg2 0.5000 0.0000 0.8624 [2 per cell]  6 Cl 2.45
Cl1 0.4065 0.0000 0.5288 [4 per cell]  3 Mg 2.45



This record from Alexandria describes crystalline HfMg2Cl at its relaxed geometry. The functional is PBE.

Computed properties:
The magnetic moment is 0.9 μB/f.u. The value obtained for the formation energy (no corrections) is 0.4812 eV/atom.

Cell: 7.2996 7.2996 7.2996 Å, 90.00 90.00 90.00°
With the nearest neighbours (Å) after each atom.
Space group Fm-3m (No. 225)
Asymmetric unit:
Hf1 0.0000 0.0000 0.0000 [4 per cell]  8 Mg 3.16
Mg1 0.2500 0.2500 0.2500 [8 per cell]  4 Hf 3.16, 4 Cl 3.16
Cl1 0.0000 0.0000 0.5000 [4 per cell]  8 Mg 3.16



This record from Alexandria describes crystalline HfMgCl2 at its relaxed geometry. The functional is PBE.

Computed properties:
The magnetic moment is 0.0 μB/f.u. The value obtained for the formation energy (no corrections) is -0.0790 eV/atom.

Cell: 5.9912 5.9912 10.6728 Å, 90.00 90.00 90.00°
With the nearest neighbours (Å) after each atom.
Space group I-42d (No. 122)
Asymmetric unit:
Hf1 0.0000 0.0000 0.0000 [4 per cell]  4 Cl 2.61
Mg1 0.0000 0.0000 0.5000 [4 per cell]  4 Cl 2.41
Cl1 0.2220 0.2500 0.6250 [8 per cell]  2 Mg 2.41, 2 Hf 2.61



This record from Alexandria describes crystalline HfMgCl2 at its relaxed geometry. The functional is PBE.

Computed properties:
The magnetic moment is 0.0 μB/f.u. The value obtained for the formation energy (no corrections) is -0.9301 eV/atom.

Cell: 3.2353 3.2353 30.2215 Å, 90.00 90.00 120.00°
With the nearest neighbours (Å) after each atom.
Space group R-3m (No. 166, hexagonal axes)
Asymmetric unit:
Hf1 0.0000 0.0000 0.0000 [3 per cell]  6 Cl 2.63
Mg1 0.0000 0.0000 0.5000 [3 per cell]  2 Cl 3.19, 6 Mg 3.24
Cl1 0.0000 0.0000 0.3944 [6 per cell]  3 Hf 2.63



This record from Alexandria describes crystalline HfMgCl2 at its relaxed geometry. The functional is PBE.

Computed properties:
The magnetic moment is 0.3 μB/f.u. The value obtained for the formation energy (no corrections) is -0.1511 eV/atom.

Cell: 6.6745 6.6745 6.6745 Å, 90.00 90.00 90.00°
With the nearest neighbours (Å) after each atom.
Space group Fm-3m (No. 225)
Asymmetric unit:
Hf1 0.0000 0.0000 0.0000 [4 per cell]  8 Cl 2.89
Mg1 0.0000 0.0000 0.5000 [4 per cell]  8 Cl 2.89
Cl1 0.2500 0.2500 0.2500 [8 per cell]  4 Hf 2.89, 4 Mg 2.89



This record from Alexandria describes crystalline HfMg2Cl at its relaxed geometry. The functional is PBE.

Computed properties:
The magnetic moment is 0.0 μB/f.u. The value obtained for the formation energy (no corrections) is 0.1356 eV/atom.

Cell: 7.8776 7.8776 5.6302 Å, 90.00 90.00 90.00°
With the nearest neighbours (Å) after each atom.
Space group I-42d (No. 122)
Asymmetric unit:
Hf1 0.0000 0.0000 0.0000 [4 per cell]  2 Cl 2.82, 4 Mg 3.12
Mg1 0.2058 0.2500 0.6250 [8 per cell]  2 Cl 2.65, 2 Mg 2.90
Cl1 0.0000 0.0000 0.5000 [4 per cell]  4 Mg 2.65, 2 Hf 2.82



This record from Alexandria describes crystalline HfMgP2Cl at its relaxed geometry. The functional is PBE.

Computed properties:
The magnetic moment is 0.0 μB/f.u. The value obtained for the formation energy (no corrections) is -0.3051 eV/atom.

Cell: 5.0356 5.0356 4.8784 Å, 90.00 90.00 90.00°
With the nearest neighbours (Å) after each atom.
Space group P4/mmm (No. 123)
Asymmetric unit:
Hf1 0.0000 0.0000 0.0000 [1 per cell]  2 Cl 2.44, 4 P 2.52
Mg1 0.5000 0.5000 0.5000 [1 per cell]  8 P 3.51, 4 Cl 3.56
P1 0.0000 0.5000 0.0000 [2 per cell]  2 Hf 2.52
Cl1 0.0000 0.0000 0.5000 [1 per cell]  2 Hf 2.44



This record from Alexandria describes crystalline HfMgP2Cl at its relaxed geometry. The functional is PBE.

Computed properties:
The magnetic moment is 0.0 μB/f.u. The value obtained for the formation energy (no corrections) is 0.2947 eV/atom.

Cell: 4.8262 4.8262 4.4712 Å, 90.00 90.00 90.00°
With the nearest neighbours (Å) after each atom.
Space group P4/mmm (No. 123)
Asymmetric unit:
Hf1 0.0000 0.0000 0.0000 [1 per cell]  8 P 3.29, 4 Cl 3.41
Mg1 0.5000 0.5000 0.5000 [1 per cell]  2 Cl 2.24, 4 P 2.41
P1 0.0000 0.5000 0.5000 [2 per cell]  2 Mg 2.41
Cl1 0.5000 0.5000 0.0000 [1 per cell]  2 Mg 2.24



This record from Alexandria describes crystalline HfMgSi2Cl at its relaxed geometry. The functional is PBE.

Computed properties:
The magnetic moment is 0.0 μB/f.u. The value obtained for the formation energy (no corrections) is 0.2228 eV/atom.

Cell: 5.1797 5.1797 4.8911 Å, 90.00 90.00 90.00°
With the nearest neighbours (Å) after each atom.
Space group P4/mmm (No. 123)
Asymmetric unit:
Hf1 0.0000 0.0000 0.0000 [1 per cell]  2 Cl 2.45, 4 Si 2.59
Mg1 0.5000 0.5000 0.5000 [1 per cell]  8 Si 3.56, 4 Cl 3.66
Si1 0.0000 0.5000 0.0000 [2 per cell]  2 Hf 2.59
Cl1 0.0000 0.0000 0.5000 [1 per cell]  2 Hf 2.45



This record from Alexandria describes crystalline Hf2MgSnCl at its relaxed geometry. The functional is PBE.

Computed properties:
The magnetic moment is 0.0 μB/f.u. The value obtained for the formation energy (no corrections) is 0.7814 eV/atom.

Cell: 5.3499 5.3499 4.4553 Å, 90.00 90.00 90.00°
With the nearest neighbours (Å) after each atom.
Space group P4/mmm (No. 123)
Asymmetric unit:
Hf1 0.0000 0.5000 0.0000 [2 per cell]  2 Mg 2.67
Mg1 0.0000 0.0000 0.0000 [1 per cell]  2 Cl 2.23
Sn1 0.5000 0.5000 0.5000 [1 per cell]  8 Hf 3.48, 4 Cl 3.78
Cl1 0.0000 0.0000 0.5000 [1 per cell]  2 Mg 2.23



This record from Alexandria describes crystalline HfMgTi2Cl at its relaxed geometry. The functional is PBE.

Computed properties:
The magnetic moment is 1.6 μB/f.u. The value obtained for the formation energy (no corrections) is 1.1620 eV/atom.

Cell: 5.1147 5.1147 4.4313 Å, 90.00 90.00 90.00°
With the nearest neighbours (Å) after each atom.
Space group P4/mmm (No. 123)
Asymmetric unit:
Hf1 0.0000 0.0000 0.0000 [1 per cell]  8 Ti 3.38, 4 Cl 3.62
Mg1 0.5000 0.5000 0.5000 [1 per cell]  2 Cl 2.22
Ti1 0.0000 0.5000 0.5000 [2 per cell]  2 Mg 2.56
Cl1 0.5000 0.5000 0.0000 [1 per cell]  2 Mg 2.22



This record from Alexandria describes crystalline HfMgW2Cl at its relaxed geometry. The functional is PBE.

Computed properties:
The magnetic moment is 0.0 μB/f.u. The value obtained for the formation energy (no corrections) is 0.9892 eV/atom.

Cell: 4.4747 4.4747 4.6828 Å, 90.00 90.00 90.00°
With the nearest neighbours (Å) after each atom.
Space group P4/mmm (No. 123)
Asymmetric unit:
Hf1 0.0000 0.0000 0.0000 [1 per cell]  2 Cl 2.34
Mg1 0.5000 0.5000 0.0000 [1 per cell]  4 Hf 3.16, 8 W 3.24
W1 0.0000 0.5000 0.5000 [2 per cell]  2 Cl 2.24
Cl1 0.0000 0.0000 0.5000 [1 per cell]  4 W 2.24, 2 Hf 2.34



This record from Alexandria describes crystalline YHfMgCl2 at its relaxed geometry. The functional is PBE.

Computed properties:
The magnetic moment is 2.1 μB/f.u. The value obtained for the formation energy (no corrections) is -0.0211 eV/atom.

Cell: 5.0611 5.0611 6.8142 Å, 90.00 90.00 90.00°
With the nearest neighbours (Å) after each atom.
Space group P4/mmm (No. 123)
Asymmetric unit:
Y1 0.0000 0.0000 0.0000 [1 per cell]  4 Cl 2.53
Hf1 0.5000 0.5000 0.5000 [1 per cell]  4 Mg 3.58
Mg1 0.0000 0.0000 0.5000 [1 per cell]  2 Y 3.41, 4 Hf 3.58
Cl1 0.0000 0.5000 0.0000 [2 per cell]  2 Y 2.53